Entry 1:
Density functional theory data (PBE) for an optimized crystal structure of GdCd4In.

a b c (Å): 5.9601 5.9601 5.9601
angles (deg): 60.00 60.00 60.00
Closest atoms and distances in Å follow each position.
Positions (direct):
1 Gd 0.0000 0.0000 0.0000  12 Cd 3.49, 4 In 3.65
2 Cd 0.1241 0.6253 0.6253  6 Cd 2.97-2.99
3 Cd 0.6253 0.1241 0.6253  6 Cd 2.97-2.99
4 Cd 0.6253 0.6253 0.1241  6 Cd 2.97-2.99
5 Cd 0.6253 0.6253 0.6253  6 Cd 2.97-2.99
6 In 0.2500 0.2500 0.2500  12 Cd 3.50, 4 Gd 3.65

Output
For the energy of formation from the pure elements, the calculation gives -0.112 eV per atom. Its density is 8.01 Mg/m³. For the density of states at the Fermi level, the calculation gives 5.73 states/eV per cell. Its calculated total energy is -3.52 eV per atom.



Entry 2:
Density functional theory data (PBE) for an optimized crystal structure of CoReCl2.

a b c (Å): 7.4194 7.4194 7.4194
angles (deg): 157.26 146.89 40.54
Closest atoms and distances in Å follow each position.
Positions (direct):
1 Co 0.0000 0.0000 0.0000  4 Re 2.57
2 Re 0.5000 0.5000 0.0000  4 Cl 2.45, 4 Co 2.57
3 Cl 0.3590 0.8590 0.5000  2 Re 2.45
4 Cl 0.6410 0.1410 0.5000  2 Re 2.45

Output
As for the energy above the most stable polymorph in this dataset: 0.2545 eV/atom. The calculation puts the uncorrected formation energy at 348 meV/atom. Its density is 6.10 Mg/m³. For the density of states at the Fermi level, the calculation gives 3.32 states/eV per cell. Its calculated total energy is -5.46 eV per atom.



Entry 3:
Density functional theory data (PBE) for an optimized crystal structure of La3SiBrCl.

a b c (Å): 9.1658 4.2194 9.4456
angles (deg): 90.00 102.61 90.00
Closest atoms and distances in Å follow each position.
Positions (direct):
1 La 0.1418 0.2500 0.1133  3 Si 3.15-3.22, 1 La 3.17, 2 Br 3.24
2 La 0.1425 0.2500 0.4490  2 Cl 2.93, 1 La 3.17, 3 Si 3.19-3.25
3 La 0.2961 0.7500 0.8162  1 Cl 2.81, 2 Si 3.02, 1 Br 3.08
4 La 0.7039 0.2500 0.1838  1 Cl 2.81, 2 Si 3.02, 1 Br 3.08
5 La 0.8575 0.7500 0.5510  2 Cl 2.93, 1 La 3.17, 3 Si 3.19-3.25
6 La 0.8582 0.7500 0.8867  3 Si 3.15-3.22, 1 La 3.17, 2 Br 3.24
7 Si 0.0539 0.2500 0.7642  8 La 3.02-3.25
8 Si 0.9461 0.7500 0.2358  8 La 3.02-3.25
9 Br 0.4159 0.7500 0.1476  5 La 3.08-3.34
10 Br 0.5841 0.2500 0.8524  5 La 3.08-3.34
11 Cl 0.3651 0.7500 0.5405  3 La 2.81-2.93
12 Cl 0.6349 0.2500 0.4595  3 La 2.81-2.93

Output
The calculation puts the uncorrected formation energy at -1248 meV/atom. Its density is 5.22 Mg/m³. For the density of states at the Fermi level, the calculation gives 11.21 states/eV per cell. Its calculated total energy is -5.20 eV per atom.